The following is a PBE calculation of a relaxed ScOsAu2 crystal, from the Alexandria database.

a = 4.629 Å, b = 4.629 Å, c = 4.629 Å
α = 60.00°, β = 60.00°, γ = 60.00°
Element x y z (fractional)
1 Sc 0.250 0.250 0.250
2 Au 0.000 0.000 0.000
3 Au 0.750 0.750 0.750
4 Os 0.500 0.500 0.500

Results
- SG = No. 216

=====

The following is a PBE calculation of a relaxed ScOsAu2 crystal, from the Alexandria database.

a = 5.195 Å, b = 5.195 Å, c = 4.587 Å
α = 76.15°, β = 76.15°, γ = 35.66°
Element x y z (fractional)
1 Sc 0.750 0.750 0.750
2 Au 0.989 0.989 0.010
3 Au 0.511 0.511 0.490
4 Os 0.250 0.250 0.250

Results
- SG = No. 12

=====

The following is a PBE calculation of a relaxed Sc3OsAu2 crystal, from the Alexandria database.

a = 3.297 Å, b = 3.297 Å, c = 10.296 Å
α = 90.00°, β = 90.00°, γ = 90.00°
Element x y z (fractional)
1 Sc 0.000 0.000 0.650
2 Au 0.500 0.500 0.828
3 Os 0.500 0.500 0.500
4 Sc 0.000 0.000 0.000
5 Sc 0.000 0.000 0.350
6 Au 0.500 0.500 0.172

Results
- SG = No. 123

=====

The following is a PBE calculation of a relaxed ScOsAu2 crystal, from the Alexandria database.

a = 4.633 Å, b = 4.633 Å, c = 4.633 Å
α = 60.00°, β = 60.00°, γ = 60.00°
Element x y z (fractional)
1 Sc 0.000 0.000 0.000
2 Au 0.750 0.750 0.750
3 Au 0.250 0.250 0.250
4 Os 0.500 0.500 0.500

Results
- SG = No. 225

=====

The following is a PBE calculation of a relaxed Sc2OsAu crystal, from the Alexandria database.

a = 5.236 Å, b = 5.236 Å, c = 4.673 Å
α = 75.89°, β = 75.89°, γ = 36.77°
Element x y z (fractional)
1 Sc 0.984 0.984 0.073
2 Sc 0.758 0.758 0.697
3 Os 0.255 0.255 0.180
4 Au 0.503 0.503 0.551

Results
- SG = No. 8

=====

The following is a PBE calculation of a relaxed Sc2OsAu crystal, from the Alexandria database.

a = 4.282 Å, b = 4.282 Å, c = 9.347 Å
α = 76.76°, β = 76.76°, γ = 90.00°
Element x y z (fractional)
1 Sc 0.375 0.390 0.750
2 Sc 0.610 0.125 0.250
3 Sc 0.140 0.625 0.250
4 Sc 0.875 0.860 0.750
5 Os 0.250 0.750 0.500
6 Au 0.000 0.000 0.000
7 Os 0.500 0.500 0.000
8 Au 0.750 0.250 0.500

Results
- SG = No. 122

=====

Number 1: E_form 0.24 eV per formula unit, total DFT energy (no corrections) -23.87 eV/cell. Number 2: E_form -0.18 eV per formula unit, total DFT energy (no corrections) -24.29 eV/cell. Number 3: E_form -4.26 eV per formula unit, total DFT energy (no corrections) -41.03 eV/cell. Number 4: E_form 0.05 eV per formula unit, total DFT energy (no corrections) -24.07 eV/cell. Number 5: E_form -1.63 eV per formula unit, total DFT energy (no corrections) -28.80 eV/cell. Number 6: E_form 1.13 eV per formula unit, total DFT energy (no corrections) -52.09 eV/cell.